CeMo2F11 | PBE with a Hubbard U | optimized geometry

Crystal system: orthorhombic
Total moment, μB/f.u.: 5.0
E_tot, eV per atom: -5.8200

```
data_CeMo2F11
_space_group_name_H-M_alt 'I b a m'
_space_group_IT_number 72
_space_group_name_Hall '-I 2 2c'
_cell_length_a 7.7445
_cell_length_b 9.9642
_cell_length_c 11.0859
_cell_angle_alpha 90.00
_cell_angle_beta 90.00
_cell_angle_gamma 90.00
loop_
_atom_site_label
_atom_site_type_symbol
_atom_site_fract_x
_atom_site_fract_y
_atom_site_fract_z
Ce1 Ce 0.0000 0.0000 0.2500
Mo1 Mo 0.1400 0.3191 0.0000
F1 F 0.0000 0.5000 0.0000
F2 F 0.0932 0.1862 0.1374
F3 F 0.1340 0.2843 0.5000
F4 F 0.2371 0.0714 0.3695
```